SiIrBr2 | GGA-PBE | relaxed

Computed properties:
energy relative to the lowest polymorph listed for this composition	1276	meV per atom
ρ	8.06	g/cm3
formation energy without anion corrections	106.4	kJ/mol of atoms
space-group type	P4/mmm (123)

Lattice parameters (Å, degrees): 3.3331 3.3331 7.0469 90.00 90.00 90.00
Last column: magnetic moment on the atom in μB.
Fractional coordinates of all 4 atoms:
Si  0.5000  0.5000  0.7500  -0.03
Br  0.0000  0.0000  0.4866  0.09
Br  0.0000  0.0000  0.0134  0.09
Ir  0.5000  0.5000  0.2500  0.83